Record 1
# K6Rb | Alexandria | PBE | relaxed
data_K6Rb
_chemical_formula_sum 'K12 Rb2'
_symmetry_space_group_name_H-M 'P 1'
_symmetry_Int_Tables_number 1
_cell_length_a 11.1933
_cell_length_b 11.1933
_cell_length_c 11.1933
_cell_angle_alpha 90.00
_cell_angle_beta 90.00
_cell_angle_gamma 90.00
loop_
_symmetry_equiv_pos_as_xyz
'x,y,z'
loop_
_atom_site_label
_atom_site_type_symbol
_atom_site_fract_x
_atom_site_fract_y
_atom_site_fract_z
K1 K 0.0000 0.2500 0.5000
K2 K 0.0000 0.5000 0.2500
K3 K 0.0000 0.5000 0.7500
K4 K 0.0000 0.7500 0.5000
K5 K 0.2500 0.0000 0.5000
K6 K 0.2500 0.5000 0.0000
K7 K 0.5000 0.0000 0.2500
K8 K 0.5000 0.0000 0.7500
K9 K 0.5000 0.2500 0.0000
K10 K 0.5000 0.7500 0.0000
K11 K 0.7500 0.0000 0.5000
K12 K 0.7500 0.5000 0.0000
Rb1 Rb 0.0000 0.0000 0.0000
Rb2 Rb 0.5000 0.5000 0.5000
# Distance to the lowest polymorph of the same formula = 247 meV/atom
# E = -0.830 eV per atom
# Energy relative to the elements = 0.25 eV per atom
# N(E_F) = 13.39 states/eV per cell

---

Record 2
# K5Rb2 | Alexandria | PBE | relaxed
data_K5Rb2
_chemical_formula_sum 'K5 Rb2'
_symmetry_space_group_name_H-M 'P 1'
_symmetry_Int_Tables_number 1
_cell_length_a 11.7095
_cell_length_b 11.7095
_cell_length_c 11.7095
_cell_angle_alpha 37.67
_cell_angle_beta 37.67
_cell_angle_gamma 37.67
loop_
_symmetry_equiv_pos_as_xyz
'x,y,z'
loop_
_atom_site_label
_atom_site_type_symbol
_atom_site_fract_x
_atom_site_fract_y
_atom_site_fract_z
K1 K 0.0000 0.0000 0.0000
K2 K 0.2878 0.2878 0.2878
K3 K 0.4267 0.4267 0.4267
K4 K 0.5733 0.5733 0.5733
K5 K 0.7122 0.7122 0.7122
Rb1 Rb 0.1417 0.1417 0.1417
Rb2 Rb 0.8583 0.8583 0.8583
# Distance to the lowest polymorph of the same formula = 6 meV/atom
# E = -1.053 eV per atom
# Energy relative to the elements = 0.01 eV per atom
# N(E_F) = 6.57 states/eV per cell

---

Record 3
# K7Rb4 | Alexandria | PBE | relaxed
data_K7Rb4
_chemical_formula_sum 'K7 Rb4'
_symmetry_space_group_name_H-M 'P 1'
_symmetry_Int_Tables_number 1
_cell_length_a 12.5113
_cell_length_b 12.5113
_cell_length_c 6.8588
_cell_angle_alpha 90.00
_cell_angle_beta 90.00
_cell_angle_gamma 120.00
loop_
_symmetry_equiv_pos_as_xyz
'x,y,z'
loop_
_atom_site_label
_atom_site_type_symbol
_atom_site_fract_x
_atom_site_fract_y
_atom_site_fract_z
K1 K 0.0000 0.0000 0.0000
K2 K 0.0714 0.5357 0.0000
K3 K 0.4076 0.2038 0.5000
K4 K 0.4643 0.5357 0.0000
K5 K 0.4643 0.9286 0.0000
K6 K 0.7962 0.2038 0.5000
K7 K 0.7962 0.5924 0.5000
Rb1 Rb 0.1921 0.3842 0.5000
Rb2 Rb 0.1921 0.8079 0.5000
Rb3 Rb 0.6158 0.8079 0.5000
Rb4 Rb 0.6667 0.3333 0.0000
# E = -0.973 eV per atom
# Energy relative to the elements = 0.08 eV per atom
# N(E_F) = 9.05 states/eV per cell

---

Record 4
# K4Rb3 | Alexandria | PBE | relaxed
data_K4Rb3
_chemical_formula_sum 'K8 Rb6'
_symmetry_space_group_name_H-M 'P 1'
_symmetry_Int_Tables_number 1
_cell_length_a 12.7615
_cell_length_b 12.7615
_cell_length_c 7.9272
_cell_angle_alpha 90.00
_cell_angle_beta 90.00
_cell_angle_gamma 120.00
loop_
_symmetry_equiv_pos_as_xyz
'x,y,z'
loop_
_atom_site_label
_atom_site_type_symbol
_atom_site_fract_x
_atom_site_fract_y
_atom_site_fract_z
K1 K 0.0992 0.4861 0.2500
K2 K 0.3333 0.6667 0.7500
K3 K 0.3869 0.9008 0.2500
K4 K 0.4861 0.3869 0.7500
K5 K 0.5139 0.6131 0.2500
K6 K 0.6131 0.0992 0.7500
K7 K 0.6667 0.3333 0.2500
K8 K 0.9008 0.5139 0.7500
Rb1 Rb 0.0535 0.2480 0.7500
Rb2 Rb 0.1945 0.9465 0.7500
Rb3 Rb 0.2480 0.1945 0.2500
Rb4 Rb 0.7520 0.8055 0.7500
Rb5 Rb 0.8055 0.0535 0.2500
Rb6 Rb 0.9465 0.7520 0.2500
# Distance to the lowest polymorph of the same formula = 0 meV/atom
# E = -1.037 eV per atom
# Energy relative to the elements = 0.00 eV per atom
# N(E_F) = 11.15 states/eV per cell

---

Record 5
# K5Rb3 | Alexandria | PBE | relaxed
data_K5Rb3
_chemical_formula_sum 'K10 Rb6'
_symmetry_space_group_name_H-M 'P 1'
_symmetry_Int_Tables_number 1
_cell_length_a 13.3323
_cell_length_b 13.8928
_cell_length_c 6.8210
_cell_angle_alpha 90.00
_cell_angle_beta 90.00
_cell_angle_gamma 90.00
loop_
_symmetry_equiv_pos_as_xyz
'x,y,z'
loop_
_atom_site_label
_atom_site_type_symbol
_atom_site_fract_x
_atom_site_fract_y
_atom_site_fract_z
K1 K 0.0000 0.0000 0.0000
K2 K 0.2447 0.0000 0.5000
K3 K 0.2500 0.2500 0.0000
K4 K 0.2500 0.7500 0.0000
K5 K 0.2553 0.5000 0.5000
K6 K 0.5000 0.5000 0.0000
K7 K 0.7447 0.5000 0.5000
K8 K 0.7500 0.2500 0.0000
K9 K 0.7500 0.7500 0.0000
K10 K 0.7553 0.0000 0.5000
Rb1 Rb 0.0000 0.2480 0.5000
Rb2 Rb 0.0000 0.5000 0.0000
Rb3 Rb 0.0000 0.7520 0.5000
Rb4 Rb 0.5000 0.0000 0.0000
Rb5 Rb 0.5000 0.2520 0.5000
Rb6 Rb 0.5000 0.7480 0.5000
# Distance to the lowest polymorph of the same formula = 2 meV/atom
# E = -1.042 eV per atom
# Energy relative to the elements = 0.01 eV per atom
# N(E_F) = 14.27 states/eV per cell

---

Record 6
# K5Rb2 | Alexandria | PBE | relaxed
data_K5Rb2
_chemical_formula_sum 'K10 Rb4'
_symmetry_space_group_name_H-M 'P 1'
_symmetry_Int_Tables_number 1
_cell_length_a 5.1621
_cell_length_b 5.1621
_cell_length_c 40.4769
_cell_angle_alpha 90.00
_cell_angle_beta 90.00
_cell_angle_gamma 90.00
loop_
_symmetry_equiv_pos_as_xyz
'x,y,z'
loop_
_atom_site_label
_atom_site_type_symbol
_atom_site_fract_x
_atom_site_fract_y
_atom_site_fract_z
K1 K 0.0000 0.0000 0.0000
K2 K 0.0000 0.0000 0.1345
K3 K 0.0000 0.0000 0.4324
K4 K 0.0000 0.0000 0.5676
K5 K 0.0000 0.0000 0.8655
K6 K 0.5000 0.5000 0.0676
K7 K 0.5000 0.5000 0.3655
K8 K 0.5000 0.5000 0.5000
K9 K 0.5000 0.5000 0.6345
K10 K 0.5000 0.5000 0.9324
Rb1 Rb 0.0000 0.0000 0.2910
Rb2 Rb 0.0000 0.0000 0.7090
Rb3 Rb 0.5000 0.5000 0.2090
Rb4 Rb 0.5000 0.5000 0.7910
# Distance to the lowest polymorph of the same formula = 0 meV/atom
# E = -1.058 eV per atom
# Energy relative to the elements = 0.00 eV per atom
# N(E_F) = 10.00 states/eV per cell

---

Record 7
# K5Rb4 | Alexandria | PBE | relaxed
data_K5Rb4
_chemical_formula_sum 'K5 Rb4'
_symmetry_space_group_name_H-M 'P 1'
_symmetry_Int_Tables_number 1
_cell_length_a 12.0053
_cell_length_b 12.0053
_cell_length_c 12.0053
_cell_angle_alpha 92.74
_cell_angle_beta 92.74
_cell_angle_gamma 154.76
loop_
_symmetry_equiv_pos_as_xyz
'x,y,z'
loop_
_atom_site_label
_atom_site_type_symbol
_atom_site_fract_x
_atom_site_fract_y
_atom_site_fract_z
K1 K 0.0000 0.0000 0.0000
K2 K 0.3338 0.3338 0.6677
K3 K 0.3338 0.6662 0.0000
K4 K 0.6662 0.3338 0.0000
K5 K 0.6662 0.6662 0.3323
Rb1 Rb 0.0000 0.3272 0.3272
Rb2 Rb 0.0000 0.6728 0.6728
Rb3 Rb 0.3272 0.0000 0.3272
Rb4 Rb 0.6728 0.0000 0.6728
# E = -1.033 eV per atom
# Energy relative to the elements = 0.01 eV per atom
# N(E_F) = 7.09 states/eV per cell

---

Record 8
# K3Rb7 | Alexandria | PBE | relaxed
data_K3Rb7
_chemical_formula_sum 'K3 Rb7'
_symmetry_space_group_name_H-M 'P 1'
_symmetry_Int_Tables_number 1
_cell_length_a 7.0359
_cell_length_b 17.5313
_cell_length_c 17.5313
_cell_angle_alpha 23.16
_cell_angle_beta 90.00
_cell_angle_gamma 90.00
loop_
_symmetry_equiv_pos_as_xyz
'x,y,z'
loop_
_atom_site_label
_atom_site_type_symbol
_atom_site_fract_x
_atom_site_fract_y
_atom_site_fract_z
K1 K 0.0000 0.0000 0.0000
K2 K 0.0000 0.4037 0.4037
K3 K 0.5000 0.0964 0.0964
Rb1 Rb 0.0000 0.1974 0.1974
Rb2 Rb 0.0000 0.5965 0.5965
Rb3 Rb 0.0000 0.8029 0.8029
Rb4 Rb 0.5000 0.3025 0.3025
Rb5 Rb 0.5000 0.5000 0.5000
Rb6 Rb 0.5000 0.6972 0.6972
Rb7 Rb 0.5000 0.9034 0.9034
# Distance to the lowest polymorph of the same formula = 0 meV/atom
# E = -1.003 eV per atom
# Energy relative to the elements = 0.00 eV per atom
# N(E_F) = 7.62 states/eV per cell